First-principles (PBE with a Hubbard U) data for an optimized crystal structure of CrTeMoO6, as listed in Alexandria.

Calculated values
uncorrected energy = -60.1 eV/f.u.
magnetic moment = 4.00 μB/f.u.

Lattice parameters (Å, degrees): 5.206 5.206 9.001 90.00 90.00 120.00
Element x y z (fractional)
Cr 0.333 0.667 0.250
Cr 0.667 0.333 0.750
Te 0.333 0.667 0.750
Te 0.667 0.333 0.250
Mo 0.000 0.000 0.000
Mo 0.000 0.000 0.500
O 0.011 0.338 0.130
O 0.011 0.673 0.370
O 0.327 0.338 0.370
O 0.327 0.989 0.130
O 0.338 0.011 0.630
O 0.338 0.327 0.870
O 0.662 0.673 0.130
O 0.662 0.989 0.370
O 0.673 0.011 0.870
O 0.673 0.662 0.630
O 0.989 0.327 0.630
O 0.989 0.662 0.870